KPaAuSe4 after structural relaxation, computed with PBE.

For the energy, the calculation gives -69.03 eV for the cell shown. The calculation puts the mass density at 6.7 Mg/m³. Its space group is P2_1/m.

abc: 7.3194 5.7843 9.8572
angles: 90.00 112.59 90.00
With the nearest neighbours (Å) after each atom.
Atoms (fractional coordinates):
1 Se 0.5331 0.2500 0.8458  1 Au 2.47
2 Se 0.4669 0.7500 0.1542  1 Au 2.47
3 Se 0.5663 0.2500 0.4200  1 Au 2.75, 1 Pa 2.88
4 Se 0.9540 0.0123 0.3074  1 Au 2.64, 1 Se 2.75
5 Se 0.0460 0.9877 0.6926  1 Au 2.64, 1 Se 2.75
6 Se 0.9540 0.4877 0.3074  1 Au 2.64, 1 Se 2.75
7 Se 0.4337 0.7500 0.5800  1 Au 2.75, 1 Pa 2.88
8 Se 0.0460 0.5123 0.6926  1 Au 2.64, 1 Se 2.75
9 Pa 0.7226 0.7500 0.4469  8 Se 2.77-3.08
10 Pa 0.2774 0.2500 0.5531  8 Se 2.77-3.08
11 K 0.7469 0.7500 0.9519  6 Se 3.26-3.58
12 K 0.2531 0.2500 0.0481  6 Se 3.26-3.58
13 Au 0.2332 0.7500 0.2805  4 Se 2.47-2.75
14 Au 0.7668 0.2500 0.7195  4 Se 2.47-2.75

KPa2AuSe8 after structural relaxation, computed with PBE.

For the energy, the calculation gives -59.88 eV for the cell shown. The calculation puts the mass density at 6.7 Mg/m³. Its space group is P-3m1.

abc: 6.5197 6.5197 8.9781
angles: 90.00 90.00 120.00
With the nearest neighbours (Å) after each atom.
Atoms (fractional coordinates):
1 Se 0.1825 0.8175 0.1683  1 Au 2.56
2 Se 0.8175 0.6350 0.8317  1 Au 2.56
3 Se 0.6667 0.3333 0.3948  1 Pa 2.57
4 Se 0.1825 0.3650 0.1683  1 Au 2.56
5 Se 0.3650 0.1825 0.8317  1 Au 2.56
6 Se 0.3333 0.6667 0.6052  1 Pa 2.57
7 Se 0.6350 0.8175 0.1683  1 Au 2.56
8 Se 0.8175 0.1825 0.8317  1 Au 2.56
9 Pa 0.3333 0.6667 0.8916  1 Se 2.57
10 Pa 0.6667 0.3333 0.1084  1 Se 2.57
11 Au 0.0000 0.0000 0.0000  6 Se 2.56
12 K 0.0000 0.0000 0.5000  12 Se 3.62-3.88

KPaTe4Au2 after structural relaxation, computed with PBE.

For the energy, the calculation gives -33.75 eV for the cell shown. The calculation puts the mass density at 6.8 Mg/m³. Its space group is P1.

abc: 7.9015 8.5616 8.5659
angles: 57.85 44.63 44.65
With the nearest neighbours (Å) after each atom.
Atoms (fractional coordinates):
1 Au 0.0660 0.4013 0.3578  3 Te 2.66-2.92, 1 Au 2.83
2 Au 0.9353 0.6418 0.5985  3 Te 2.66-2.91, 1 Au 2.83
3 Te 0.0039 0.9116 0.5853  1 Au 2.66
4 Te 0.9974 0.4142 0.0883  1 Au 2.66
5 Te 0.5666 0.5077 0.8178  2 Au 2.83-2.92, 1 Pa 2.97
6 Te 0.4328 0.1818 0.4939  2 Au 2.83-2.91, 1 Pa 2.97
7 Pa 0.5005 0.4300 0.5699  6 Te 2.97-3.25, 2 Au 3.27
8 K 0.9975 0.0118 0.9885  4 Te 3.28-3.42

K4Pa3Te8Au after structural relaxation, computed with PBE.

For the energy, the calculation gives -74.52 eV for the cell shown. The calculation puts the mass density at 6.0 Mg/m³. Its space group is C2/m.

abc: 8.9270 9.7746 8.9416
angles: 117.27 119.95 90.00
With the nearest neighbours (Å) after each atom.
Atoms (fractional coordinates):
1 K 0.0000 0.0000 0.5000  6 Te 3.50-3.55
2 K 0.0000 0.0000 0.0000  6 Te 3.50-3.55
3 K 0.5000 0.0000 0.5000  6 Te 3.50-3.55
4 K 0.5000 0.0000 0.0000  6 Te 3.54-3.55
5 Te 0.7360 0.7064 0.9710  1 Au 3.09, 2 Pa 3.10
6 Te 0.2640 0.2936 0.0290  1 Au 3.09, 2 Pa 3.10
7 Te 0.7650 0.2936 0.0290  1 Au 3.09, 2 Pa 3.10
8 Te 0.7381 0.7146 0.4762  3 Pa 3.13, 3 K 3.50
9 Te 0.2619 0.2854 0.5238  3 Pa 3.13, 3 K 3.50
10 Te 0.2363 0.7073 0.4726  2 Pa 3.10, 1 Au 3.11
11 Te 0.7637 0.2927 0.5274  2 Pa 3.10, 1 Au 3.11
12 Te 0.2350 0.7064 0.9710  1 Au 3.09, 2 Pa 3.10
13 Au 0.0000 0.5000 0.0000  6 Te 3.09-3.11
14 Pa 0.0000 0.5000 0.5000  6 Te 3.10-3.13
15 Pa 0.5000 0.5000 0.5000  6 Te 3.10-3.13
16 Pa 0.5000 0.5000 0.0000  6 Te 3.10-3.13